DFT (PBE) results for a relaxed EuRe2 crystal.

abc: 5.4894 5.4894 8.8206
angles: 90.00 90.00 120.00
With the nearest neighbours (Å) after each atom.
Fractional coordinates of all 12 atoms:
Re1 0.1705 0.3410 0.7500  6 Re 2.68-2.81
Re2 0.8295 0.6590 0.2500  6 Re 2.68-2.81
Re3 0.6588 0.8294 0.7500  6 Re 2.68-2.81
Re4 0.1706 0.8294 0.7500  6 Re 2.68-2.81
Re5 0.0000 0.0000 0.0000  6 Re 2.74
Re6 0.0000 0.0000 0.5000  6 Re 2.74
Re7 0.8294 0.1706 0.2500  6 Re 2.68-2.81
Re8 0.3412 0.1706 0.2500  6 Re 2.68-2.81
Eu1 0.3333 0.6667 0.0627  12 Re 3.16-3.22, 4 Eu 3.30-3.36
Eu2 0.3333 0.6667 0.4373  12 Re 3.16-3.22, 4 Eu 3.30-3.36
Eu3 0.6667 0.3333 0.9373  12 Re 3.16-3.22, 4 Eu 3.30-3.36
Eu4 0.6667 0.3333 0.5627  12 Re 3.16-3.22, 4 Eu 3.30-3.36

Calculated values
energy of formation from the pure elements: 0.212 eV per atom
density: 15.1 Mg/m³